CoTcP2Cl: optimized geometry, PBE.

Geometry as CIF:
```
data_CoTcP2Cl
_cell_length_a 4.3153
_cell_length_b 4.3153
_cell_length_c 4.6673
_cell_angle_alpha 90.00
_cell_angle_beta 90.00
_cell_angle_gamma 90.00
_space_group_name_H-M_alt 'P 4/m m m'
_space_group_IT_number 123
_space_group_name_Hall '-P 4 2'
loop_
_atom_site_label
_atom_site_type_symbol
_atom_site_fract_x
_atom_site_fract_y
_atom_site_fract_z
Co1 Co 0.0000 0.0000 0.0000
Tc1 Tc 0.5000 0.5000 0.5000
P1 P 0.0000 0.5000 0.0000
Cl1 Cl 0.0000 0.0000 0.5000
```

Results
D(E_F): 3.4 states/eV/f.u.
Formation energy from raw total energies: 0.81 eV per atom
DFT total energy: -26.1 eV for the cell shown